Record 1
First-principles (PBE-GGA) data for crystalline LaMg2Cd2Au2 at its relaxed geometry, as listed in Alexandria.

Properties
As for the density of states at the Fermi level: 0.47 states/eV per atom. Its crystal system is trigonal. The formation energy is -452 meV per atom.

Structure (POSCAR):
```
LaMg2Cd2Au2
1.0
-2.817 1.789 3.521
-2.475 -3.009 2.890
4.379 -0.629 7.165
Mg Cd La Au
2 2 1 2
direct
0.862 0.862 0.413 Mg
0.138 0.138 0.587 Mg
0.418 0.418 0.745 Cd
0.582 0.582 0.255 Cd
0.000 0.000 0.000 La
0.747 0.747 0.759 Au
0.253 0.253 0.241 Au
```

---

Record 2
First-principles (PBE-GGA) data for crystalline LaMnCd2Au at its relaxed geometry, as listed in Alexandria.

Properties
As for the density of states at the Fermi level: 2.39 states/eV per atom. Its crystal system is tetragonal. The formation energy is 1594 meV per atom.

Structure (POSCAR):
```
LaMnCd2Au
1.0
6.009 0.000 0.000
0.000 5.452 0.000
0.000 0.000 6.009
Cd Au Mn La
2 1 1 1
direct
0.500 0.000 0.000 Cd
0.000 0.000 0.500 Cd
0.000 0.500 0.000 Au
0.500 0.500 0.500 Mn
0.000 0.000 0.000 La
```